Computed, not measured: crystalline CoSbBr at its relaxed geometry at the PBE level of DFT.

Properties
Raw total energy   -0.1443 hartree per atom
Formation energy without anion corrections   0.372 eV/atom
Distance to the lowest polymorph of the same formula   35.4 kJ/mol of atoms

Cell lengths 4.4871, 4.4871, 4.4871 Å; angles 60.00, 60.00, 60.00 degrees
Last column: nearest neighbours and their distance in Å.
Atoms (fractional coordinates):
Co (0.0000, 0.0000, 0.0000)  4 Sb 2.75, 4 Br 2.75
Sb (0.2500, 0.2500, 0.2500)  4 Co 2.75
Br (0.7500, 0.7500, 0.7500)  4 Co 2.75

Computed, not measured: crystalline Pa2TaNi4Ge3 at its relaxed geometry at the PBE level of DFT.

Properties
Raw total energy   -0.2679 hartree per atom
DFT formation energy   -0.508 eV/atom

Cell lengths 4.0976, 4.0976, 9.7959 Å; angles 90.00, 90.00, 90.00 degrees
Last column: nearest neighbours and their distance in Å.
Atoms (fractional coordinates):
Pa (0.0000, 0.5000, 0.2328)  8 Ni 3.07-3.16, 6 Ge 3.08-3.32, 2 Ta 3.32
Pa (0.5000, 0.0000, 0.7672)  8 Ni 3.07-3.16, 6 Ge 3.08-3.32, 2 Ta 3.32
Ta (0.0000, 0.0000, 0.5000)  4 Ni 2.45
Ni (0.0000, 0.0000, 0.0000)  4 Ge 2.39
Ni (0.0000, 0.5000, 0.6379)  3 Ge 2.32-2.45, 2 Ta 2.45
Ni (0.5000, 0.0000, 0.3621)  3 Ge 2.32-2.45, 2 Ta 2.45
Ni (0.5000, 0.5000, 0.0000)  4 Ge 2.39
Ge (0.0000, 0.5000, 0.8752)  5 Ni 2.32-2.39
Ge (0.5000, 0.0000, 0.1248)  5 Ni 2.32-2.39
Ge (0.5000, 0.5000, 0.5000)  4 Ni 2.45